First-principles (GGA-PBE) data for a relaxed structure of CdWAu3, as listed in the Alexandria database.

Values from the calculation:
Excess energy over the best structure of this formula in the dataset   0.0 kJ per mole of atoms
ΔH_f (0 K)   1.0802 eV per atom
Calculated total energy   -3.66 eV/atom

Unit cell a=5.093 b=5.093 c=5.093 alpha=90.00 beta=90.00 gamma=90.00
Space group Pm-3m (No. 221)
Unique sites:
Cd1 0.000 0.000 0.000 x1
W1 0.500 0.500 0.500 x1
Au1 0.000 0.500 0.500 x3


First-principles (GGA-PBE) data for a relaxed structure of CdW2Au, as listed in the Alexandria database.

Values from the calculation:
Excess energy over the best structure of this formula in the dataset   0.0 kJ per mole of atoms
ΔH_f (0 K)   0.2789 eV per atom
Calculated total energy   -7.25 eV/atom

Unit cell a=3.263 b=4.577 c=9.429 alpha=90.00 beta=90.00 gamma=90.00
Space group Cmm2 (No. 35)
Unique sites:
Cd1 0.000 0.000 0.000 x2
W1 0.000 0.000 0.489 x2
W2 0.000 0.500 0.263 x2
Au1 0.000 0.500 0.738 x2


First-principles (GGA-PBE) data for a relaxed structure of CdW2Au2, as listed in the Alexandria database.

Values from the calculation:
Excess energy over the best structure of this formula in the dataset   13.5 kJ per mole of atoms
ΔH_f (0 K)   0.6312 eV per atom
Calculated total energy   -6.04 eV/atom

Unit cell a=8.199 b=8.199 c=2.828 alpha=90.00 beta=90.00 gamma=90.00
Space group P4/mbm (No. 127)
Unique sites:
Cd1 0.000 0.000 0.000 x2
W1 0.109 0.391 0.500 x4
Au1 0.183 0.683 0.000 x4


First-principles (GGA-PBE) data for a relaxed structure of CdW2Au, as listed in the Alexandria database.

Values from the calculation:
Excess energy over the best structure of this formula in the dataset   9.7 kJ per mole of atoms
ΔH_f (0 K)   0.3793 eV per atom
Calculated total energy   -7.15 eV/atom

Unit cell a=2.8528 b=2.8528 c=29.7716 alpha=90.00 beta=90.00 gamma=120.00
Space group R3m (No. 160, hexagonal axes)
Unique sites:
Cd1 0.0000 0.0000 0.0000 x3
W1 0.0000 0.0000 0.5005 x3
W2 0.0000 0.0000 0.7533 x3
Au1 0.0000 0.0000 0.2479 x3


First-principles (GGA-PBE) data for a relaxed structure of CdW2Au, as listed in the Alexandria database.

Values from the calculation:
Excess energy over the best structure of this formula in the dataset   66.1 kJ per mole of atoms
ΔH_f (0 K)   0.9638 eV per atom
Calculated total energy   -6.56 eV/atom

Unit cell a=6.511 b=6.511 c=6.511 alpha=90.00 beta=90.00 gamma=90.00
Space group Fm-3m (No. 225)
Unique sites:
Cd1 0.000 0.000 0.000 x4
W1 0.250 0.250 0.250 x8
Au1 0.000 0.000 0.500 x4


First-principles (GGA-PBE) data for a relaxed structure of CdW2Au, as listed in the Alexandria database.

Values from the calculation:
Excess energy over the best structure of this formula in the dataset   22.0 kJ per mole of atoms
ΔH_f (0 K)   0.5070 eV per atom
Calculated total energy   -7.02 eV/atom

Unit cell a=10.058 b=2.996 c=4.704 alpha=90.00 beta=101.33 gamma=90.00
Space group C2/m (No. 12)
Unique sites:
Cd1 0.000 0.000 0.000 x2
W1 0.245 0.000 0.744 x4
Au1 0.000 0.500 0.500 x2


First-principles (GGA-PBE) data for a relaxed structure of Cd2WAu, as listed in the Alexandria database.

Values from the calculation:
Excess energy over the best structure of this formula in the dataset   17.7 kJ per mole of atoms
ΔH_f (0 K)   0.4799 eV per atom
Calculated total energy   -4.04 eV/atom

Unit cell a=10.474 b=2.828 c=5.252 alpha=90.00 beta=106.01 gamma=90.00
Space group C2/m (No. 12)
Unique sites:
Cd1 0.247 0.000 0.253 x4
W1 0.000 0.000 0.500 x2
Au1 0.000 0.500 0.000 x2


First-principles (GGA-PBE) data for a relaxed structure of CdW2Au, as listed in the Alexandria database.

Values from the calculation:
Excess energy over the best structure of this formula in the dataset   27.0 kJ per mole of atoms
ΔH_f (0 K)   0.5592 eV per atom
Calculated total energy   -6.97 eV/atom

Unit cell a=2.770 b=2.770 c=8.986 alpha=90.00 beta=90.00 gamma=90.00
Space group P4/mmm (No. 123)
Unique sites:
Cd1 0.000 0.000 0.000 x1
W1 0.500 0.500 0.257 x2
Au1 0.000 0.000 0.500 x1